VASP calculation (PBE) on a geometry-optimized AlRhN2 structure.

Unit cell a=3.096 b=3.096 c=17.444 alpha=90.00 beta=90.00 gamma=120.00
Fractional coordinates of all 12 atoms:
1 Al 0.000 0.000 0.000
2 Al 0.333 0.667 0.667
3 Al 0.667 0.333 0.333
4 Rh 0.000 0.000 0.500
5 Rh 0.333 0.667 0.167
6 Rh 0.667 0.333 0.833
7 N 0.000 0.000 0.105
8 N 0.000 0.000 0.895
9 N 0.333 0.667 0.561
10 N 0.333 0.667 0.772
11 N 0.667 0.333 0.228
12 N 0.667 0.333 0.439

Summary:
- SG: R-3m
- ΔE_f (raw): 0.3341 eV per atom